First-principles (PBE) data for a relaxed Ca3ErSc2Se6 crystal, as listed in the Alexandria database.

Cell lengths 6.975, 6.975, 7.111 Å; angles 99.44, 99.44, 119.94 degrees
Positions (direct):
1 Ca 0.000 0.000 0.000
2 Ca 0.335 0.665 0.000
3 Ca 0.665 0.335 0.000
4 Er 0.500 0.500 0.500
5 Sc 0.167 0.833 0.500
6 Sc 0.833 0.167 0.500
7 Se 0.082 0.421 0.264
8 Se 0.239 0.239 0.735
9 Se 0.421 0.082 0.264
10 Se 0.579 0.918 0.736
11 Se 0.761 0.761 0.265
12 Se 0.918 0.579 0.736

- Symmetry: C2/m (12)
- Magnetic moment: 0.000 μB/atom
- DFT total energy: -0.201 Ha/atom
- Formation energy from raw total energies: -21.64 eV per formula unit